[1]
Material: Tl2Hg5Pb5
Method: DFT, PBE
State: optimized geometry

Crystal system   monoclinic

Lattice parameters (Å, degrees): 3.4703 9.0103 12.2407 68.91 81.85 78.90
With the nearest neighbours (Å) after each atom.
Positions (direct):
Tl 0.1739 0.9030 0.7491  6 Hg 3.23-3.59, 2 Tl 3.47, 4 Pb 3.49-3.53
Tl 0.8261 0.0970 0.2509  6 Hg 3.23-3.59, 2 Tl 3.47, 4 Pb 3.49-3.53
Hg 0.6697 0.1640 0.4967  3 Tl 3.23-3.59, 6 Hg 3.36-3.55, 3 Pb 3.36-3.45
Hg 0.8367 0.5750 0.7516  6 Pb 3.33-3.48, 2 Tl 3.37, 4 Hg 3.47-3.55
Hg 0.1633 0.4250 0.2484  6 Pb 3.33-3.48, 2 Tl 3.37, 4 Hg 3.47-3.55
Hg 0.3303 0.8360 0.5033  3 Tl 3.23-3.59, 6 Hg 3.36-3.55, 3 Pb 3.36-3.45
Hg 0.0000 0.0000 0.0000  8 Pb 3.41-3.54, 2 Tl 3.43, 2 Hg 3.47
Pb 0.0000 0.5000 0.5000  6 Hg 3.33-3.45, 6 Pb 3.47-3.53
Pb 0.6655 0.6663 0.0027  5 Pb 3.37-3.47, 5 Hg 3.41-3.48, 2 Tl 3.53
Pb 0.4971 0.7535 0.2523  5 Hg 3.36-3.54, 5 Pb 3.37-3.53, 2 Tl 3.49
Pb 0.5029 0.2465 0.7477  5 Hg 3.36-3.54, 5 Pb 3.37-3.53, 2 Tl 3.49
Pb 0.3345 0.3337 0.9973  5 Pb 3.37-3.47, 5 Hg 3.41-3.48, 2 Tl 3.53

=====

[2]
Material: NpSi2Os2
Method: DFT, PBE
State: optimized geometry

Crystal system   tetragonal
Raw formation energy   -0.431 eV per atom

Lattice parameters (Å, degrees): 5.6679 5.6679 5.6679 137.01 137.01 62.42
With the nearest neighbours (Å) after each atom.
Positions (direct):
Np 0.0000 0.0000 0.0000  8 Si 3.18, 8 Os 3.19
Si 0.6253 0.6253 0.0000  4 Os 2.40, 1 Si 2.43
Si 0.3747 0.3747 0.0000  4 Os 2.40, 1 Si 2.43
Os 0.2500 0.7500 0.5000  4 Si 2.40
Os 0.7500 0.2500 0.5000  4 Si 2.40

=====

[3]
Material: Ba2Sb2O5
Method: DFT, PBE
State: optimized geometry

Crystal system   orthorhombic
Raw formation energy   -2.102 eV per atom

Lattice parameters (Å, degrees): 6.4452 8.2314 14.8643 90.00 90.00 90.00
With the nearest neighbours (Å) after each atom.
Positions (direct):
Ba 0.2500 0.6255 0.0746  6 O 2.76-2.82
Ba 0.7500 0.6248 0.4330  6 O 2.70-2.79
Ba 0.7500 0.8752 0.9330  6 O 2.70-2.79
Ba 0.2500 0.8745 0.5746  6 O 2.76-2.82
Ba 0.2500 0.1248 0.0670  6 O 2.70-2.79
Ba 0.7500 0.1255 0.4254  6 O 2.76-2.82
Ba 0.2500 0.3752 0.5670  6 O 2.70-2.79
Ba 0.7500 0.3745 0.9254  6 O 2.76-2.82
Sb 0.2500 0.6345 0.8232  3 O 1.96-2.05
Sb 0.7500 0.6121 0.6814  3 O 1.96-2.04
Sb 0.2500 0.8655 0.3232  3 O 1.96-2.05
Sb 0.7500 0.8879 0.1814  3 O 1.96-2.04
Sb 0.2500 0.1121 0.8186  3 O 1.96-2.04
Sb 0.7500 0.1345 0.6768  3 O 1.96-2.05
Sb 0.2500 0.3879 0.3186  3 O 1.96-2.04
Sb 0.7500 0.3655 0.1768  3 O 1.96-2.05
O 0.2500 0.6277 0.2831  2 Sb 2.04-2.05
O 0.0251 0.6306 0.9116  1 Sb 1.96
O 0.4749 0.6306 0.9116  1 Sb 1.96
O 0.5251 0.6198 0.5930  1 Sb 1.96
O 0.9749 0.6198 0.5930  1 Sb 1.96
O 0.4749 0.8694 0.4116  1 Sb 1.96
O 0.2500 0.8723 0.7831  2 Sb 2.04-2.05
O 0.5251 0.8802 0.0930  1 Sb 1.96
O 0.0251 0.8694 0.4116  1 Sb 1.96
O 0.9749 0.8802 0.0930  1 Sb 1.96
O 0.7500 0.1277 0.2169  2 Sb 2.04-2.05
O 0.5251 0.1306 0.5884  1 Sb 1.96
O 0.9749 0.1306 0.5884  1 Sb 1.96
O 0.0251 0.1198 0.9070  1 Sb 1.96
O 0.4749 0.1198 0.9070  1 Sb 1.96
O 0.7500 0.3723 0.7169  2 Sb 2.04-2.05
O 0.0251 0.3802 0.4070  1 Sb 1.96
O 0.4749 0.3802 0.4070  1 Sb 1.96
O 0.5251 0.3694 0.0884  1 Sb 1.96
O 0.9749 0.3694 0.0884  1 Sb 1.96

=====

[4]
Material: Pr2Nd9In
Method: DFT, PBE
State: optimized geometry

Crystal system   tetragonal

Lattice parameters (Å, degrees): 5.1039 5.1039 15.6628 90.00 90.00 90.00
With the nearest neighbours (Å) after each atom.
Positions (direct):
Pr 0.0000 0.0000 0.3296  12 Nd 3.61-3.69
Pr 0.0000 0.0000 0.6704  12 Nd 3.61-3.69
Nd 0.5000 0.5000 0.0000  8 Nd 3.57, 4 In 3.61
Nd 0.5000 0.5000 0.3289  4 Pr 3.61, 8 Nd 3.69-3.70
Nd 0.5000 0.5000 0.6711  4 Pr 3.61, 8 Nd 3.69-3.70
Nd 0.5000 0.0000 0.1591  2 In 3.57, 8 Nd 3.57-3.69, 2 Pr 3.69
Nd 0.5000 0.0000 0.5000  8 Nd 3.61-3.70, 4 Pr 3.69
Nd 0.5000 0.0000 0.8409  2 In 3.57, 8 Nd 3.57-3.69, 2 Pr 3.69
Nd 0.0000 0.5000 0.1591  8 Nd 3.57-3.69, 2 In 3.57, 2 Pr 3.69
Nd 0.0000 0.5000 0.5000  8 Nd 3.61-3.70, 4 Pr 3.69
Nd 0.0000 0.5000 0.8409  8 Nd 3.57-3.69, 2 In 3.57, 2 Pr 3.69
In 0.0000 0.0000 0.0000  12 Nd 3.57-3.61

=====

[5]
Material: Ca2YEr
Method: DFT, PBE
State: optimized geometry

Crystal system   tetragonal

Lattice parameters (Å, degrees): 5.4443 5.1349 5.1349 90.00 90.00 90.00
With the nearest neighbours (Å) after each atom.
Positions (direct):
Y 0.5000 0.5000 0.5000  4 Er 3.63, 8 Ca 3.74
Ca 0.0000 0.0000 0.5000  4 Ca 3.63, 4 Er 3.74, 4 Y 3.74
Ca 0.0000 0.5000 0.0000  4 Ca 3.63, 4 Er 3.74, 4 Y 3.74
Er 0.5000 0.0000 0.0000  4 Y 3.63, 8 Ca 3.74

=====

[6]
Material: PmSmIrCl
Method: DFT, PBE
State: optimized geometry

Crystal system   monoclinic
Raw formation energy   -1.168 eV per atom

Lattice parameters (Å, degrees): 4.0979 4.0961 7.9889 90.10 104.87 120.01
With the nearest neighbours (Å) after each atom.
Positions (direct):
Pm 0.1049 0.9507 0.0704  3 Ir 2.82
Sm 0.5066 0.1503 0.6744  3 Ir 2.80
Ir 0.3040 0.5496 0.8697  3 Sm 2.80, 3 Pm 2.82
Cl 0.9624 0.3803 0.3552  3 Pm 3.21, 3 Sm 3.38-3.40

=====

[7]
Material: Pr6Sm2Y3Tm
Method: DFT, PBE
State: optimized geometry

Crystal system   monoclinic

Lattice parameters (Å, degrees): 6.3366 6.3366 11.9701 95.05 95.05 120.01
With the nearest neighbours (Å) after each atom.
Positions (direct):
Pr 0.9163 0.5841 0.7498  3 Y 3.62-3.63, 1 Tm 3.62, 2 Sm 3.63, 6 Pr 3.65-3.66
Pr 0.7512 0.7512 0.2505  3 Y 3.62, 1 Tm 3.62, 2 Sm 3.63, 6 Pr 3.65-3.66
Pr 0.0837 0.4159 0.2502  3 Y 3.62-3.63, 1 Tm 3.62, 2 Sm 3.63, 6 Pr 3.65-3.66
Pr 0.5841 0.9163 0.7498  3 Y 3.62-3.63, 1 Tm 3.62, 2 Sm 3.63, 6 Pr 3.65-3.66
Pr 0.2488 0.2488 0.7495  3 Y 3.62, 1 Tm 3.62, 2 Sm 3.63, 6 Pr 3.65-3.66
Pr 0.4159 0.0837 0.2502  3 Y 3.62-3.63, 1 Tm 3.62, 2 Sm 3.63, 6 Pr 3.65-3.66
Sm 0.3332 0.6668 0.0000  6 Pr 3.63, 3 Sm 3.66, 3 Tm 3.66
Sm 0.6668 0.3332 0.0000  6 Pr 3.63, 3 Sm 3.66, 3 Tm 3.66
Y 0.1665 0.8335 0.5000  6 Pr 3.62-3.63, 6 Y 3.65-3.66
Y 0.8335 0.1665 0.5000  6 Pr 3.62-3.63, 6 Y 3.65-3.66
Y 0.5000 0.5000 0.5000  6 Pr 3.62, 6 Y 3.66
Tm 0.0000 0.0000 0.0000  6 Pr 3.62, 6 Sm 3.66

=====

[8]
Material: KZr2Co
Method: DFT, PBE
State: optimized geometry

Crystal system   orthorhombic

Lattice parameters (Å, degrees): 10.2937 10.2937 10.2937 161.26 161.66 26.34
With the nearest neighbours (Å) after each atom.
Positions (direct):
Co 0.5496 0.5496 0.0000  6 Zr 2.51-2.58
K 0.3121 0.8121 0.5000  4 K 3.28-3.35
Zr 0.9956 0.9956 0.0000  4 Co 2.58
Zr 0.6427 0.1427 0.5000  2 Co 2.51

=====

[9]
Material: K2YNi
Method: DFT, PBE
State: optimized geometry

Crystal system   tetragonal

Lattice parameters (Å, degrees): 3.6981 3.6981 11.0530 90.00 90.00 89.97
With the nearest neighbours (Å) after each atom.
Positions (direct):
K 0.0000 0.0000 0.9575  4 K 3.70
K 0.5000 0.5000 0.3291  1 Y 3.56, 4 Ni 3.67, 4 K 3.70
Ni 0.0000 0.0000 0.5619  4 Y 2.80
Y 0.5000 0.5000 0.6515  4 Ni 2.80

=====

[10]
Material: Sr2Zn4Ga3Rh
Method: DFT, PBE
State: optimized geometry

Crystal system   tetragonal

Lattice parameters (Å, degrees): 4.3348 4.3348 10.8147 90.00 90.00 90.00
With the nearest neighbours (Å) after each atom.
Positions (direct):
Sr 0.5000 0.0000 0.2523  8 Zn 3.33-3.48, 6 Ga 3.33-3.45, 2 Rh 3.45
Sr 0.0000 0.5000 0.7477  8 Zn 3.33-3.48, 6 Ga 3.33-3.45, 2 Rh 3.45
Zn 0.5000 0.5000 0.0000  4 Ga 2.60
Zn 0.0000 0.0000 0.0000  4 Ga 2.60
Zn 0.5000 0.0000 0.6286  2 Rh 2.58, 3 Ga 2.58
Zn 0.0000 0.5000 0.3714  2 Rh 2.58, 3 Ga 2.58
Ga 0.0000 0.0000 0.5000  4 Zn 2.58
Ga 0.5000 0.0000 0.8673  5 Zn 2.58-2.60
Ga 0.0000 0.5000 0.1327  5 Zn 2.58-2.60
Rh 0.5000 0.5000 0.5000  4 Zn 2.58

=====

no.,E (Ry/atom)
1,-0.1498
2,-0.7115
3,-0.4557
4,-0.3432
5,-0.2626
6,-0.4566
7,-0.3789
8,-0.4376
9,-0.2517
10,-0.2082